# 1
# Zn2CrSe, optimized geometry, DFT PBE-GGA
data_Zn2CrSe
_chemical_formula_sum 'Zn4 Cr2 Se2'
_space_group_name_H-M_alt 'I m m m'
_space_group_IT_number 71
_space_group_name_Hall '-I 2 2'
_cell_length_a 3.654
_cell_length_b 3.742
_cell_length_c 9.855
_cell_angle_alpha 90.00
_cell_angle_beta 90.00
_cell_angle_gamma 90.00
loop_
_atom_site_label
_atom_site_type_symbol
_atom_site_fract_x
_atom_site_fract_y
_atom_site_fract_z
Zn1 Zn 0.000 0.000 0.249
Cr1 Cr 0.000 0.500 0.000
Se1 Se 0.000 0.500 0.500
# Fermi-level density of states = 3.75 states/eV per cell
# calculated total energy = -3.808 eV per atom
# V = 16.8 A^3/atom

***

# 2
# Sr2LiMg12Tl3, optimized geometry, DFT PBE-GGA
data_Sr2LiMg12Tl3
_chemical_formula_sum 'Sr6 Li3 Mg36 Tl9'
_space_group_name_H-M_alt 'R -3 m'
_space_group_IT_number 166
_space_group_name_Hall '-R 3 2"'
_cell_length_a 7.3616
_cell_length_b 7.3616
_cell_length_c 33.5607
_cell_angle_alpha 90.00
_cell_angle_beta 90.00
_cell_angle_gamma 120.00
loop_
_atom_site_label
_atom_site_type_symbol
_atom_site_fract_x
_atom_site_fract_y
_atom_site_fract_z
Sr1 Sr 0.0000 0.0000 0.1441
Li1 Li 0.0000 0.0000 0.5000
Mg1 Mg 0.0352 0.5176 0.1018
Mg2 Mg 0.0677 0.5339 0.6172
Tl1 Tl 0.0000 0.5000 0.0000
# Fermi-level density of states = 22.20 states/eV per cell
# formation energy from the elements = 103 meV/atom
# calculated total energy = -1.648 eV per atom
# V = 29.2 A^3/atom

***

# 3
# SiSIF2, optimized geometry, DFT PBE-GGA
data_SiSIF2
_chemical_formula_sum 'Si1 S1 I1 F2'
_space_group_name_H-M_alt 'P 4/m m m'
_space_group_IT_number 123
_space_group_name_Hall '-P 4 2'
_cell_length_a 4.247
_cell_length_b 4.247
_cell_length_c 6.148
_cell_angle_alpha 90.00
_cell_angle_beta 90.00
_cell_angle_gamma 90.00
loop_
_atom_site_label
_atom_site_type_symbol
_atom_site_fract_x
_atom_site_fract_y
_atom_site_fract_z
Si1 Si 0.000 0.000 0.000
S1 S 0.500 0.500 0.000
I1 I 0.000 0.000 0.500
F1 F 0.000 0.500 0.500
# Fermi-level density of states = 2.09 states/eV per cell
# calculated total energy = -3.038 eV per atom
# V = 22.2 A^3/atom

***

# 4
# TmZr2Se6, optimized geometry, DFT PBE-GGA
data_TmZr2Se6
_chemical_formula_sum 'Tm2 Zr4 Se12'
_space_group_name_H-M_alt 'P 42/m n m'
_space_group_IT_number 136
_space_group_name_Hall '-P 4n 2n'
_cell_length_a 6.514
_cell_length_b 6.514
_cell_length_c 11.884
_cell_angle_alpha 90.00
_cell_angle_beta 90.00
_cell_angle_gamma 90.00
loop_
_atom_site_label
_atom_site_type_symbol
_atom_site_fract_x
_atom_site_fract_y
_atom_site_fract_z
Tm1 Tm 0.000 0.000 0.000
Zr1 Zr 0.000 0.000 0.335
Se1 Se 0.196 0.196 0.500
Se2 Se 0.204 0.204 0.175
# Fermi-level density of states = 11.24 states/eV per cell
# calculated total energy = -5.951 eV per atom
# V = 28.0 A^3/atom

***

# 5
# YEr2In9, optimized geometry, DFT PBE-GGA
data_YEr2In9
_chemical_formula_sum 'Y1 Er2 In9'
_space_group_name_H-M_alt 'P 4/m m m'
_space_group_IT_number 123
_space_group_name_Hall '-P 4 2'
_cell_length_a 4.629
_cell_length_b 4.629
_cell_length_c 13.882
_cell_angle_alpha 90.00
_cell_angle_beta 90.00
_cell_angle_gamma 90.00
loop_
_atom_site_label
_atom_site_type_symbol
_atom_site_fract_x
_atom_site_fract_y
_atom_site_fract_z
Y1 Y 0.000 0.000 0.000
Er1 Er 0.000 0.000 0.334
In1 In 0.000 0.500 0.168
In2 In 0.000 0.500 0.500
In3 In 0.500 0.500 0.000
In4 In 0.500 0.500 0.334
# Fermi-level density of states = 4.58 states/eV per cell
# formation energy from the elements = -398 meV/atom
# calculated total energy = -3.751 eV per atom
# V = 24.8 A^3/atom

***

# 6
# Zr2Cr2Pb, optimized geometry, DFT PBE-GGA
data_Zr2Cr2Pb
_chemical_formula_sum 'Zr4 Cr4 Pb2'
_space_group_name_H-M_alt 'P 4/m b m'
_space_group_IT_number 127
_space_group_name_Hall '-P 4 2ab'
_cell_length_a 7.248
_cell_length_b 7.248
_cell_length_c 3.600
_cell_angle_alpha 90.00
_cell_angle_beta 90.00
_cell_angle_gamma 90.00
loop_
_atom_site_label
_atom_site_type_symbol
_atom_site_fract_x
_atom_site_fract_y
_atom_site_fract_z
Zr1 Zr 0.185 0.315 0.000
Cr1 Cr 0.098 0.598 0.500
Pb1 Pb 0.000 0.000 0.500
# Fermi-level density of states = 15.91 states/eV per cell
# formation energy from the elements = 115 meV/atom
# calculated total energy = -7.895 eV per atom
# V = 18.9 A^3/atom

***

# 7
# Cs2PuZnO4, optimized geometry, DFT PBE-GGA
data_Cs2PuZnO4
_chemical_formula_sum 'Cs2 Pu1 Zn1 O4'
_space_group_name_H-M_alt 'P 1 2/m 1'
_space_group_IT_number 10
_cell_length_a 6.285
_cell_length_b 3.443
_cell_length_c 7.280
_cell_angle_alpha 90.00
_cell_angle_beta 110.73
_cell_angle_gamma 90.00
loop_
_space_group_symop_operation_xyz
'x,y,z'
'-x,-y,-z'
'-x,y,-z'
'x,-y,z'
loop_
_atom_site_label
_atom_site_type_symbol
_atom_site_fract_x
_atom_site_fract_y
_atom_site_fract_z
Cs1 Cs 0.000 0.000 0.000
Cs2 Cs 0.500 0.500 0.000
Pu1 Pu 0.000 0.500 0.500
Zn1 Zn 0.500 0.000 0.500
O1 O 0.183 0.000 0.685
O2 O 0.279 0.500 0.362
# Fermi-level density of states = 4.85 states/eV per cell
# calculated total energy = -6.435 eV per atom
# V = 18.4 A^3/atom

***

# 8
# Fe2CuW, optimized geometry, DFT PBE-GGA
data_Fe2CuW
_chemical_formula_sum 'Fe8 Cu4 W4'
_space_group_name_H-M_alt 'I -4 2 d'
_space_group_IT_number 122
_space_group_name_Hall 'I -4 2bw'
_cell_length_a 6.540
_cell_length_b 6.540
_cell_length_c 5.101
_cell_angle_alpha 90.00
_cell_angle_beta 90.00
_cell_angle_gamma 90.00
loop_
_atom_site_label
_atom_site_type_symbol
_atom_site_fract_x
_atom_site_fract_y
_atom_site_fract_z
Fe1 Fe 0.242 0.250 0.125
Cu1 Cu 0.000 0.000 0.500
W1 W 0.000 0.000 0.000
# Fermi-level density of states = 17.57 states/eV per cell
# formation energy from the elements = 769 meV/atom
# calculated total energy = -7.724 eV per atom
# ΔE to the lowest computed polymorph = 0.601 eV per atom
# V = 13.6 A^3/atom

***

# 9
# FeSeBr2, optimized geometry, DFT PBE-GGA
data_FeSeBr2
_chemical_formula_sum 'Fe1 Se1 Br2'
_space_group_name_H-M_alt 'P m m m'
_space_group_IT_number 47
_cell_length_a 3.478
_cell_length_b 4.250
_cell_length_c 6.518
_cell_angle_alpha 90.00
_cell_angle_beta 90.00
_cell_angle_gamma 90.00
loop_
_space_group_symop_operation_xyz
'x,y,z'
'-x,-y,-z'
'-x,-y,z'
'x,y,-z'
'x,-y,-z'
'-x,y,z'
'-x,y,-z'
'x,-y,z'
loop_
_atom_site_label
_atom_site_type_symbol
_atom_site_fract_x
_atom_site_fract_y
_atom_site_fract_z
Fe1 Fe 0.000 0.000 0.000
Se1 Se 0.500 0.000 0.500
Br1 Br 0.000 0.500 0.500
Br2 Br 0.500 0.500 0.000
# Fermi-level density of states = 4.60 states/eV per cell
# calculated total energy = -3.371 eV per atom
# ΔE to the lowest computed polymorph = 0.649 eV per atom
# V = 24.1 A^3/atom

***

# 10
# TbHf2F11, optimized geometry, DFT PBE-GGA
data_TbHf2F11
_chemical_formula_sum 'Tb4 Hf8 F44'
_space_group_name_H-M_alt 'I b a m'
_space_group_IT_number 72
_space_group_name_Hall '-I 2 2c'
_cell_length_a 7.747
_cell_length_b 9.931
_cell_length_c 10.730
_cell_angle_alpha 90.00
_cell_angle_beta 90.00
_cell_angle_gamma 90.00
loop_
_atom_site_label
_atom_site_type_symbol
_atom_site_fract_x
_atom_site_fract_y
_atom_site_fract_z
Tb1 Tb 0.000 0.000 0.250
Hf1 Hf 0.137 0.318 0.000
F1 F 0.000 0.500 0.000
F2 F 0.101 0.181 0.138
F3 F 0.129 0.282 0.500
F4 F 0.232 0.076 0.368
# Fermi-level density of states = 0.00 states/eV per cell
# calculated total energy = -7.154 eV per atom
# V = 14.7 A^3/atom

***

# 11
# K2Pb, optimized geometry, DFT PBE-GGA
data_K2Pb
_chemical_formula_sum 'K8 Pb4'
_space_group_name_H-M_alt 'I 41/a m d'
_space_group_IT_number 141
_cell_length_a 4.080
_cell_length_b 4.080
_cell_length_c 34.879
_cell_angle_alpha 90.00
_cell_angle_beta 90.00
_cell_angle_gamma 90.00
loop_
_space_group_symop_operation_xyz
'x,y,z'
'-x,-y,-z'
'-y+1/4,x+3/4,z+1/4'
'y+1/4,-x+3/4,-z+1/4'
'-x+1/2,-y,z+1/2'
'x+1/2,y,-z+1/2'
'y+1/4,-x+1/4,z+3/4'
'-y+1/4,x+1/4,-z+3/4'
'x,-y,-z'
'-x,y,z'
'-y+1/4,-x+1/4,-z+3/4'
'y+1/4,x+1/4,z+3/4'
'-x+1/2,y,-z+1/2'
'x+1/2,-y,z+1/2'
'y+1/4,x+3/4,-z+1/4'
'-y+1/4,-x+3/4,z+1/4'
'x+1/2,y+1/2,z+1/2'
'-x+1/2,-y+1/2,-z+1/2'
'-y+3/4,x+1/4,z+3/4'
'y+3/4,-x+1/4,-z+3/4'
'-x,-y+1/2,z'
'x,y+1/2,-z'
'y+3/4,-x+3/4,z+1/4'
'-y+3/4,x+3/4,-z+1/4'
'x+1/2,-y+1/2,-z+1/2'
'-x+1/2,y+1/2,z+1/2'
'-y+3/4,-x+3/4,-z+1/4'
'y+3/4,x+3/4,z+1/4'
'-x,y+1/2,-z'
'x,-y+1/2,z'
'y+3/4,x+1/4,-z+3/4'
'-y+3/4,-x+1/4,z+3/4'
loop_
_atom_site_label
_atom_site_type_symbol
_atom_site_fract_x
_atom_site_fract_y
_atom_site_fract_z
K1 K 0.000 0.250 0.309
Pb1 Pb 0.000 0.250 0.875
# Fermi-level density of states = 10.03 states/eV per cell
# formation energy from the elements = -21 meV/atom
# calculated total energy = -1.989 eV per atom
# V = 48.4 A^3/atom

***

# 12
# KAuS2, optimized geometry, DFT PBE-GGA
data_KAuS2
_chemical_formula_sum 'K4 Au4 S8'
_space_group_name_H-M_alt 'I -4 2 d'
_space_group_IT_number 122
_space_group_name_Hall 'I -4 2bw'
_cell_length_a 6.313
_cell_length_b 6.313
_cell_length_c 12.517
_cell_angle_alpha 90.00
_cell_angle_beta 90.00
_cell_angle_gamma 90.00
loop_
_atom_site_label
_atom_site_type_symbol
_atom_site_fract_x
_atom_site_fract_y
_atom_site_fract_z
K1 K 0.000 0.000 0.000
Au1 Au 0.000 0.000 0.500
S1 S 0.142 0.250 0.625
# Fermi-level density of states = 8.60 states/eV per cell
# calculated total energy = -3.375 eV per atom
# V = 31.2 A^3/atom

***

Which value of V does entry 12 give? 31.2 A^3/atom

***

Please write out number 12 again, unchanged.
# KAuS2, optimized geometry, DFT PBE-GGA
data_KAuS2
_chemical_formula_sum 'K4 Au4 S8'
_space_group_name_H-M_alt 'I -4 2 d'
_space_group_IT_number 122
_space_group_name_Hall 'I -4 2bw'
_cell_length_a 6.313
_cell_length_b 6.313
_cell_length_c 12.517
_cell_angle_alpha 90.00
_cell_angle_beta 90.00
_cell_angle_gamma 90.00
loop_
_atom_site_label
_atom_site_type_symbol
_atom_site_fract_x
_atom_site_fract_y
_atom_site_fract_z
K1 K 0.000 0.000 0.000
Au1 Au 0.000 0.000 0.500
S1 S 0.142 0.250 0.625
# Fermi-level density of states = 8.60 states/eV per cell
# calculated total energy = -3.375 eV per atom
# V = 31.2 A^3/atom

***

What did the sixth record say?
# Zr2Cr2Pb, optimized geometry, DFT PBE-GGA
data_Zr2Cr2Pb
_chemical_formula_sum 'Zr4 Cr4 Pb2'
_space_group_name_H-M_alt 'P 4/m b m'
_space_group_IT_number 127
_space_group_name_Hall '-P 4 2ab'
_cell_length_a 7.248
_cell_length_b 7.248
_cell_length_c 3.600
_cell_angle_alpha 90.00
_cell_angle_beta 90.00
_cell_angle_gamma 90.00
loop_
_atom_site_label
_atom_site_type_symbol
_atom_site_fract_x
_atom_site_fract_y
_atom_site_fract_z
Zr1 Zr 0.185 0.315 0.000
Cr1 Cr 0.098 0.598 0.500
Pb1 Pb 0.000 0.000 0.500
# Fermi-level density of states = 15.91 states/eV per cell
# formation energy from the elements = 115 meV/atom
# calculated total energy = -7.895 eV per atom
# V = 18.9 A^3/atom